## Pu8Ir3Os2 (PBE)

Data for a relaxed Pu8Ir3Os2 crystal.

energy relative to the elements: -99 meV/atom
total magnetization: 1.591 μB per atom
electronic total energy: -330.0 eV/cell

Lattice parameters (Å, degrees): 11.1011 9.7980 5.3277 90.00 115.60 90.00
Last column: nearest neighbours and their distance in Å.
Space group C2/m (No. 12)
Unique sites:
Pu  0.0774  0.0000  0.2732 x4  4 Pu 2.67-2.93, 2 Os 2.76-2.95, 2 Ir 2.87
Pu  0.1381  0.5000  0.6011 x4  1 Os 2.69, 2 Pu 2.78-2.93, 3 Ir 2.89-2.97
Pu  0.1591  0.2561  0.1425 x8  2 Os 2.80-3.13, 2 Pu 2.85-3.01, 3 Ir 2.87-3.12
Ir  0.0000  0.2318  0.5000 x4  8 Pu 2.87-3.12, 2 Os 3.20
Ir  0.0000  0.5000  0.0000 x2  8 Pu 2.87-3.11, 2 Os 2.98
Os  0.2080  0.0000  0.8471 x4  5 Pu 2.69-2.95, 1 Ir 2.98



## Pu8Ir5Os (PBE)

Data for a relaxed Pu8Ir5Os crystal.

energy relative to the elements: -366 meV/atom
total magnetization: 2.786 μB per atom
electronic total energy: -350.6 eV/cell

Lattice parameters (Å, degrees): 8.4714 8.4714 8.4990 90.00 90.00 90.00
Last column: nearest neighbours and their distance in Å.
Space group I-4 (No. 82)
Unique sites:
Pu  0.0682  0.1788  0.1965 x8  5 Ir 2.82-3.09, 1 Os 3.05
Pu  0.0719  0.3169  0.5546 x8  1 Os 2.79, 5 Ir 2.81-3.08
Ir  0.0000  0.5000  0.2500 x2  8 Pu 2.82-3.08
Ir  0.1232  0.2524  0.8774 x8  8 Pu 2.81-3.09
Os  0.0000  0.0000  0.5000 x2  8 Pu 2.79-3.05



## PuIrOs2 (PBE)

Data for a relaxed PuIrOs2 crystal.

energy relative to the elements: 8 meV/atom
total magnetization: 0.552 μB per atom
electronic total energy: -45.6 eV/cell

Lattice parameters (Å, degrees): 4.0547 4.0547 3.9617 90.00 90.00 90.00
Last column: nearest neighbours and their distance in Å.
Space group P4/mmm (No. 123)
Unique sites:
Pu  0.0000  0.0000  0.0000 x1  8 Os 2.83, 4 Ir 2.87
Ir  0.5000  0.5000  0.0000 x1  8 Os 2.83, 4 Pu 2.87
Os  0.0000  0.5000  0.5000 x2  4 Ir 2.83, 4 Pu 2.83, 4 Os 2.87



## Pu7Ir2Os2 (PBE)

Data for a relaxed Pu7Ir2Os2 crystal.

energy relative to the elements: 34 meV/atom
total magnetization: 3.274 μB per atom
electronic total energy: -280.3 eV/cell

Lattice parameters (Å, degrees): 10.4037 7.5736 6.7498 90.00 95.77 90.00
Last column: nearest neighbours and their distance in Å.
Space group C2/m (No. 12)
Unique sites:
Pu  0.0000  0.0000  0.0000 x2  2 Ir 2.99
Pu  0.0209  0.5000  0.2710 x4  2 Ir 2.84-2.89, 2 Os 2.96, 3 Pu 3.13-3.16
Pu  0.2369  0.2480  0.7079 x8  2 Ir 2.72-2.79, 1 Os 2.78, 1 Pu 2.85
Ir  0.2121  0.5000  0.9885 x4  7 Pu 2.72-2.99
Os  0.0000  0.1694  0.5000 x4  1 Os 2.57, 2 Pu 2.78



## PuIrOs (PBE)

Data for a relaxed PuIrOs crystal.

energy relative to the elements: -85 meV/atom
distance to the lowest polymorph of the same formula: 0.247 eV per atom
total magnetization: 1.617 μB per atom
electronic total energy: -138.7 eV/cell

Lattice parameters (Å, degrees): 10.1208 4.3811 7.1190 90.00 133.29 90.00
Last column: nearest neighbours and their distance in Å.
Space group C2/m (No. 12)
Unique sites:
Pu  0.0631  0.0000  0.3178 x4  5 Ir 2.92-3.15, 6 Os 3.01-3.26
Ir  0.1662  0.5000  0.7175 x4  1 Ir 2.57, 3 Os 2.58-2.69
Os  0.1499  0.5000  0.0789 x4  1 Os 2.41, 3 Ir 2.58-2.69



## PuScIrOs (PBE)

Data for a relaxed PuScIrOs crystal.

energy relative to the elements: -406 meV/atom
total magnetization: 1.057 μB per atom
electronic total energy: -169.5 eV/cell

Lattice parameters (Å, degrees): 6.6349 6.6349 6.6349 90.00 90.00 90.00
Last column: nearest neighbours and their distance in Å.
Space group F-43m (No. 216)
Unique sites:
Pu  0.0000  0.0000  0.0000 x4  4 Os 2.87, 4 Ir 2.87
Sc  0.0000  0.0000  0.5000 x4  4 Ir 2.87, 4 Os 2.87
Ir  0.2500  0.2500  0.7500 x4  4 Pu 2.87, 4 Sc 2.87
Os  0.2500  0.2500  0.2500 x4  4 Sc 2.87, 4 Pu 2.87



- The lowest total magnetization belongs to which entry?
  PuIrOs2



- Look up the total magnetization of the first one.
  1.591 μB per atom